# TbDyHgIr (PBE, optimized geometry)
data_TbDyHgIr
_cell_length_a 7.1364
_cell_length_b 7.1364
_cell_length_c 7.1364
_cell_angle_alpha 90.00
_cell_angle_beta 90.00
_cell_angle_gamma 90.00
_symmetry_space_group_name_H-M 'F -4 3 m'
_symmetry_Int_Tables_number 216
_symmetry_space_group_name_Hall 'F -4 2 3'
loop_
_atom_site_label
_atom_site_fract_x
_atom_site_fract_y
_atom_site_fract_z
_atom_site_occupancy
Tb1 0.0000 0.0000 0.0000 1
Dy1 0.0000 0.0000 0.5000 1
Hg1 0.2500 0.2500 0.7500 1
Ir1 0.2500 0.2500 0.2500 1
# * calculated formation energy: -0.617 eV per atom
# * DOS(E_F): 0.5503 states/eV per atom
# * spin magnetization: 0.00 μB/cell
# * crystal system: cubic

=====

# Dy5Tl2HgIr2 (PBE, optimized geometry)
data_Dy5Tl2HgIr2
_cell_length_a 11.9983
_cell_length_b 11.9983
_cell_length_c 3.6389
_cell_angle_alpha 90.00
_cell_angle_beta 90.00
_cell_angle_gamma 90.00
_symmetry_space_group_name_H-M 'P 4/m b m'
_symmetry_Int_Tables_number 127
_symmetry_space_group_name_Hall '-P 4 2ab'
loop_
_atom_site_label
_atom_site_fract_x
_atom_site_fract_y
_atom_site_fract_z
_atom_site_occupancy
Dy1 0.0000 0.5000 0.0000 1
Dy2 0.0780 0.2054 0.0000 1
Tl1 0.1723 0.6723 0.5000 1
Hg1 0.0000 0.0000 0.5000 1
Ir1 0.1312 0.3688 0.5000 1
# * calculated formation energy: -0.539 eV per atom
# * DOS(E_F): 0.7085 states/eV per atom
# * spin magnetization: 0.00 μB/cell
# * crystal system: tetragonal

=====

# DyYHgIr (PBE, optimized geometry)
data_DyYHgIr
_cell_length_a 7.1279
_cell_length_b 7.1279
_cell_length_c 7.1279
_cell_angle_alpha 90.00
_cell_angle_beta 90.00
_cell_angle_gamma 90.00
_symmetry_space_group_name_H-M 'F -4 3 m'
_symmetry_Int_Tables_number 216
_symmetry_space_group_name_Hall 'F -4 2 3'
loop_
_atom_site_label
_atom_site_fract_x
_atom_site_fract_y
_atom_site_fract_z
_atom_site_occupancy
Dy1 0.0000 0.0000 0.0000 1
Y1 0.0000 0.0000 0.5000 1
Hg1 0.2500 0.2500 0.2500 1
Ir1 0.2500 0.2500 0.7500 1
# * calculated formation energy: -0.621 eV per atom
# * DOS(E_F): 0.5257 states/eV per atom
# * spin magnetization: 0.00 μB/cell
# * crystal system: cubic

=====

# DyZrHgIr (PBE, optimized geometry)
data_DyZrHgIr
_cell_length_a 6.9668
_cell_length_b 6.9668
_cell_length_c 6.9668
_cell_angle_alpha 90.00
_cell_angle_beta 90.00
_cell_angle_gamma 90.00
_symmetry_space_group_name_H-M 'F -4 3 m'
_symmetry_Int_Tables_number 216
_symmetry_space_group_name_Hall 'F -4 2 3'
loop_
_atom_site_label
_atom_site_fract_x
_atom_site_fract_y
_atom_site_fract_z
_atom_site_occupancy
Dy1 0.0000 0.0000 0.0000 1
Zr1 0.0000 0.0000 0.5000 1
Hg1 0.2500 0.2500 0.2500 1
Ir1 0.2500 0.2500 0.7500 1
# * calculated formation energy: -0.444 eV per atom
# * DOS(E_F): 0.9553 states/eV per atom
# * spin magnetization: 0.00 μB/cell
# * crystal system: cubic

=====

# KDyHg2 (PBE, optimized geometry)
data_KDyHg2
_cell_length_a 3.8001
_cell_length_b 3.8001
_cell_length_c 8.3466
_cell_angle_alpha 90.00
_cell_angle_beta 90.00
_cell_angle_gamma 90.00
_symmetry_space_group_name_H-M 'P 4/m m m'
_symmetry_Int_Tables_number 123
_symmetry_space_group_name_Hall '-P 4 2'
loop_
_atom_site_label
_atom_site_fract_x
_atom_site_fract_y
_atom_site_fract_z
_atom_site_occupancy
K1 0.0000 0.0000 0.0000 1
Dy1 0.0000 0.0000 0.5000 1
Hg1 0.5000 0.5000 0.2975 1
# * calculated formation energy: -0.284 eV per atom
# * DOS(E_F): 0.7700 states/eV per atom
# * E above lowest polymorph: 0.000 kcal/mol of atoms
# * spin magnetization: 0.00 μB/cell
# * crystal system: tetragonal

=====

# KDyHg2 (PBE, optimized geometry)
data_KDyHg2
_cell_length_a 4.0448
_cell_length_b 4.0448
_cell_length_c 28.0567
_cell_angle_alpha 90.00
_cell_angle_beta 90.00
_cell_angle_gamma 120.00
_symmetry_space_group_name_H-M 'R -3 m'
_symmetry_Int_Tables_number 166
_symmetry_space_group_name_Hall '-R 3 2"'
loop_
_atom_site_label
_atom_site_fract_x
_atom_site_fract_y
_atom_site_fract_z
_atom_site_occupancy
K1 0.0000 0.0000 0.0000 1
Dy1 0.0000 0.0000 0.5000 1
Hg1 0.0000 0.0000 0.2376 1
# * calculated formation energy: -0.171 eV per atom
# * DOS(E_F): 0.7652 states/eV per atom
# * E above lowest polymorph: 2.598 kcal/mol of atoms
# * spin magnetization: 0.00 μB/cell
# * crystal system: trigonal

=====

# KDyHg6 (PBE, optimized geometry)
data_KDyHg6
_cell_length_a 5.3091
_cell_length_b 6.9722
_cell_length_c 5.6641
_cell_angle_alpha 90.00
_cell_angle_beta 90.00
_cell_angle_gamma 90.00
_symmetry_space_group_name_H-M 'P m m 2'
_symmetry_Int_Tables_number 25
loop_
_symmetry_equiv_pos_as_xyz
'x,y,z'
'-x,-y,z'
'-x,y,z'
'x,-y,z'
loop_
_atom_site_label
_atom_site_fract_x
_atom_site_fract_y
_atom_site_fract_z
_atom_site_occupancy
K1 0.0000 0.0000 0.0000 1
Dy1 0.5000 0.5000 0.3195 1
Hg1 0.0000 0.2674 0.4941 1
Hg2 0.0000 0.5000 0.9991 1
Hg3 0.5000 0.0000 0.3866 1
Hg4 0.5000 0.2693 0.8370 1
# * calculated formation energy: -0.229 eV per atom
# * DOS(E_F): 0.4380 states/eV per atom
# * spin magnetization: 0.00 μB/cell
# * crystal system: orthorhombic

=====

# KDyHg (PBE, optimized geometry)
data_KDyHg
_cell_length_a 16.8743
_cell_length_b 3.8847
_cell_length_c 6.7341
_cell_angle_alpha 90.00
_cell_angle_beta 90.00
_cell_angle_gamma 90.00
_symmetry_space_group_name_H-M 'A m m 2'
_symmetry_Int_Tables_number 38
loop_
_symmetry_equiv_pos_as_xyz
'x,y,z'
'-x,-y,z'
'-x,y,z'
'x,-y,z'
'x,y+1/2,z+1/2'
'-x,-y+1/2,z+1/2'
'-x,y+1/2,z+1/2'
'x,-y+1/2,z+1/2'
loop_
_atom_site_label
_atom_site_fract_x
_atom_site_fract_y
_atom_site_fract_z
_atom_site_occupancy
K1 0.1674 0.0000 0.0000 1
Dy1 0.3752 0.0000 0.3318 1
Hg1 0.0000 0.0000 0.3335 1
Hg2 0.5000 0.0000 0.9984 1
# * calculated formation energy: 0.032 eV per atom
# * DOS(E_F): 0.7062 states/eV per atom
# * spin magnetization: 0.17 μB/cell
# * crystal system: orthorhombic

=====

What is the DOS(E_F) in the second record? 0.7085 states/eV per atom